AcTbAsO6: relaxed, PBE.

Properties
- Raw formation energy: -2.323 eV per atom
- DFT total energy: -7.116 eV per atom
- Calculated volume: 15.322 Å³ per atom

abc: 5.5306 5.5306 5.2058
angles: 90.00 90.00 120.00
Element x y z (fractional)
1 Ac 0.0000 0.0000 0.0000
2 Tb 0.3333 0.6667 0.5000
3 As 0.6667 0.3333 0.5000
4 O 0.3914 0.0544 0.7062
5 O 0.3914 0.3370 0.2938
6 O 0.6630 0.0544 0.2938
7 O 0.6630 0.6086 0.7062
8 O 0.9456 0.3370 0.7062
9 O 0.9456 0.6086 0.2938

AcTiAs2O8: relaxed, PBE.

Properties
- Raw formation energy: -1.919 eV per atom
- DFT total energy: -7.000 eV per atom
- Calculated volume: 13.917 Å³ per atom

abc: 6.0278 6.0278 6.0278
angles: 106.37 106.37 115.87
Element x y z (fractional)
1 Ac 0.0000 0.0000 0.0000
2 Ti 0.2500 0.7500 0.5000
3 As 0.5000 0.5000 0.0000
4 As 0.7500 0.2500 0.5000
5 O 0.3343 0.1284 0.7940
6 O 0.3343 0.5403 0.2060
7 O 0.3930 0.0619 0.3312
8 O 0.4597 0.6657 0.7940
9 O 0.7307 0.0619 0.6688
10 O 0.8716 0.6657 0.2060
11 O 0.9381 0.2693 0.3312
12 O 0.9381 0.6070 0.6688

AcTlAsO3: relaxed, PBE.

Properties
- Raw formation energy: -1.755 eV per atom
- DFT total energy: -6.089 eV per atom
- Calculated volume: 19.193 Å³ per atom

abc: 7.7648 7.7648 7.6757
angles: 99.70 99.70 30.36
Element x y z (fractional)
1 Ac 0.1454 0.1454 0.0490
2 Ac 0.8546 0.8546 0.9510
3 Tl 0.1499 0.1499 0.5812
4 Tl 0.8501 0.8501 0.4188
5 As 0.4898 0.4898 0.7443
6 As 0.5102 0.5102 0.2557
7 O 0.0012 0.0012 0.7922
8 O 0.3122 0.3122 0.1166
9 O 0.3668 0.3668 0.7250
10 O 0.6332 0.6332 0.2750
11 O 0.6878 0.6878 0.8834
12 O 0.9988 0.9988 0.2078

Ac3Tl3AsO8: relaxed, PBE.

Properties
- Raw formation energy: -1.874 eV per atom
- DFT total energy: -6.123 eV per atom
- Calculated volume: 20.718 Å³ per atom

abc: 7.8237 7.8237 7.8237
angles: 56.44 56.44 56.44
Element x y z (fractional)
1 Ac 0.0000 0.5000 0.5000
2 Ac 0.5000 0.0000 0.5000
3 Ac 0.5000 0.5000 0.0000
4 Tl 0.0000 0.0000 0.5000
5 Tl 0.0000 0.5000 0.0000
6 Tl 0.5000 0.0000 0.0000
7 As 0.0000 0.0000 0.0000
8 O 0.1913 0.1913 0.7799
9 O 0.1913 0.7799 0.1913
10 O 0.2201 0.8087 0.8087
11 O 0.2716 0.2716 0.2716
12 O 0.7284 0.7284 0.7284
13 O 0.7799 0.1913 0.1913
14 O 0.8087 0.2201 0.8087
15 O 0.8087 0.8087 0.2201

Ac3TlAs4O12: relaxed, PBE.

Properties
- Raw formation energy: -1.690 eV per atom
- DFT total energy: -6.329 eV per atom
- Calculated volume: 21.200 Å³ per atom

abc: 7.7499 7.7499 7.7499
angles: 102.85 102.85 102.85
Element x y z (fractional)
1 Ac 0.0000 0.5587 0.4413
2 Ac 0.4413 0.0000 0.5587
3 Ac 0.5587 0.4413 0.0000
4 Tl 0.0000 0.0000 0.0000
5 As 0.0653 0.5000 0.9347
6 As 0.5000 0.5000 0.5000
7 As 0.5000 0.9347 0.0653
8 As 0.9347 0.0653 0.5000
9 O 0.0149 0.2366 0.3918
10 O 0.0805 0.9195 0.5000
11 O 0.2365 0.3918 0.0149
12 O 0.3384 0.6616 0.5000
13 O 0.3918 0.0149 0.2365
14 O 0.5000 0.0805 0.9195
15 O 0.5000 0.3384 0.6616
16 O 0.6082 0.7635 0.9851
17 O 0.6616 0.5000 0.3384
18 O 0.7635 0.9851 0.6082
19 O 0.9195 0.5000 0.0805
20 O 0.9851 0.6082 0.7635

Ac2TlAsO8: relaxed, PBE.

Properties
- Raw formation energy: -1.524 eV per atom
- DFT total energy: -6.099 eV per atom
- Calculated volume: 16.394 Å³ per atom

abc: 5.2953 5.2953 8.1012
angles: 90.00 90.00 120.00
Element x y z (fractional)
1 Ac 0.3333 0.6667 0.3301
2 Ac 0.6667 0.3333 0.6699
3 Tl 0.0000 0.0000 0.0000
4 As 0.0000 0.0000 0.5000
5 O 0.1617 0.3233 0.6346
6 O 0.1617 0.8383 0.6346
7 O 0.3233 0.1617 0.3654
8 O 0.3333 0.6667 0.0206
9 O 0.6667 0.3333 0.9794
10 O 0.6767 0.8383 0.6346
11 O 0.8383 0.1617 0.3654
12 O 0.8383 0.6767 0.3654

Ac3Tl4AsO8: relaxed, PBE.

Properties
- Raw formation energy: -1.758 eV per atom
- DFT total energy: -5.890 eV per atom
- Calculated volume: 19.785 Å³ per atom

abc: 7.8112 7.8112 7.8112
angles: 57.36 57.36 57.36
Element x y z (fractional)
1 Ac 0.0000 0.5000 0.5000
2 Ac 0.5000 0.0000 0.5000
3 Ac 0.5000 0.5000 0.0000
4 Tl 0.0000 0.0000 0.5000
5 Tl 0.0000 0.5000 0.0000
6 Tl 0.5000 0.0000 0.0000
7 Tl 0.5000 0.5000 0.5000
8 As 0.0000 0.0000 0.0000
9 O 0.2118 0.2118 0.7545
10 O 0.2118 0.7545 0.2118
11 O 0.2455 0.7882 0.7882
12 O 0.2714 0.2714 0.2714
13 O 0.7286 0.7286 0.7286
14 O 0.7545 0.2118 0.2118
15 O 0.7882 0.2455 0.7882
16 O 0.7882 0.7882 0.2455

AcTl3As2O6: relaxed, PBE.

Properties
- Raw formation energy: -1.545 eV per atom
- DFT total energy: -5.733 eV per atom
- Calculated volume: 20.875 Å³ per atom

abc: 6.2503 6.2503 7.4041
angles: 90.00 90.00 120.00
Element x y z (fractional)
1 Ac 0.0000 0.0000 0.0000
2 Tl 0.0000 0.0000 0.5000
3 Tl 0.3333 0.6667 0.1712
4 Tl 0.6667 0.3333 0.8288
5 As 0.3333 0.6667 0.6910
6 As 0.6667 0.3333 0.3090
7 O 0.1861 0.3722 0.8037
8 O 0.1861 0.8139 0.8037
9 O 0.3722 0.1861 0.1963
10 O 0.6278 0.8139 0.8037
11 O 0.8139 0.1861 0.1963
12 O 0.8139 0.6278 0.1963

Ac2Tl2AsO6: relaxed, PBE.

Properties
- Raw formation energy: -1.780 eV per atom
- DFT total energy: -6.084 eV per atom
- Calculated volume: 19.898 Å³ per atom

abc: 6.2492 6.2492 6.6115
angles: 97.65 97.65 118.59
Element x y z (fractional)
1 Ac 0.1648 0.8352 0.0000
2 Ac 0.8352 0.1648 0.0000
3 Tl 0.3421 0.6579 0.5000
4 Tl 0.6579 0.3421 0.5000
5 As 0.5000 0.5000 0.0000
6 O 0.1734 0.4522 0.8418
7 O 0.2866 0.2866 0.1934
8 O 0.4522 0.1734 0.8418
9 O 0.5478 0.8266 0.1582
10 O 0.7134 0.7134 0.8066
11 O 0.8266 0.5478 0.1582

AcTlAs2O8: relaxed, PBE.

Properties
- Raw formation energy: -1.616 eV per atom
- DFT total energy: -6.236 eV per atom
- Calculated volume: 15.548 Å³ per atom

abc: 6.2643 6.2643 6.2643
angles: 105.72 105.72 117.26
Element x y z (fractional)
1 Ac 0.0000 0.0000 0.0000
2 Tl 0.7500 0.2500 0.5000
3 As 0.2500 0.7500 0.5000
4 As 0.5000 0.5000 0.0000
5 O 0.0733 0.4028 0.3296
6 O 0.0733 0.7437 0.6704
7 O 0.1556 0.3339 0.8217
8 O 0.2563 0.9267 0.3296
9 O 0.5122 0.3339 0.1783
10 O 0.5972 0.9267 0.6704
11 O 0.6661 0.4878 0.8217
12 O 0.6661 0.8444 0.1783

AcTl2AsO8: relaxed, PBE.

Properties
- Raw formation energy: -1.015 eV per atom
- DFT total energy: -5.444 eV per atom
- Calculated volume: 14.781 Å³ per atom

abc: 5.6301 5.6301 6.4611
angles: 90.00 90.00 120.00
Element x y z (fractional)
1 Ac 0.0000 0.0000 0.0000
2 Tl 0.3333 0.6667 0.4328
3 Tl 0.6667 0.3333 0.5672
4 As 0.0000 0.0000 0.5000
5 O 0.1547 0.3095 0.6675
6 O 0.1547 0.8453 0.6675
7 O 0.3095 0.1547 0.3325
8 O 0.3333 0.6667 0.1096
9 O 0.6667 0.3333 0.8904
10 O 0.6905 0.8453 0.6675
11 O 0.8453 0.1547 0.3325
12 O 0.8453 0.6905 0.3325

AcTmAsO6: relaxed, PBE.

Properties
- Raw formation energy: -2.370 eV per atom
- DFT total energy: -7.145 eV per atom
- Calculated volume: 14.996 Å³ per atom

abc: 5.4582 5.4582 5.2310
angles: 90.00 90.00 120.00
Element x y z (fractional)
1 Ac 0.0000 0.0000 0.0000
2 Tm 0.3333 0.6667 0.5000
3 As 0.6667 0.3333 0.5000
4 O 0.3915 0.0480 0.7051
5 O 0.3915 0.3435 0.2949
6 O 0.6565 0.0480 0.2949
7 O 0.6565 0.6085 0.7051
8 O 0.9520 0.3435 0.7051
9 O 0.9520 0.6085 0.2949